[1]
An optimized crystal structure of CdPb2Br2, computed with PBE.

Computed properties:
ΔE to the lowest computed polymorph	0.000	eV per atom
energy relative to the elements, uncorrected	-0.307	eV per atom
SG	P4/mbm, No. 127

Unit cell a=7.9950 b=7.9950 c=5.1432 alpha=90.00 beta=90.00 gamma=90.00
With the nearest neighbours (Å) after each atom.
Atoms (fractional coordinates):
Pb (0.3461, 0.8461, 0.0000)  2 Br 3.02, 2 Cd 3.03
Pb (0.8461, 0.6539, 0.0000)  2 Br 3.02, 2 Cd 3.03
Pb (0.6539, 0.1539, 0.0000)  2 Br 3.02, 2 Cd 3.03
Pb (0.1539, 0.3461, 0.0000)  2 Br 3.02, 2 Cd 3.03
Br (0.2053, 0.7053, 0.5000)  2 Pb 3.02
Br (0.7053, 0.7947, 0.5000)  2 Pb 3.02
Br (0.7947, 0.2947, 0.5000)  2 Pb 3.02
Br (0.2947, 0.2053, 0.5000)  2 Pb 3.02
Cd (0.0000, 0.0000, 0.0000)  4 Pb 3.03
Cd (0.5000, 0.5000, 0.0000)  4 Pb 3.03



[2]
An optimized crystal structure of Tl2CrTcBi, computed with PBE.

Computed properties:
ΔE to the lowest computed polymorph	0.000	eV per atom
energy of formation from the pure elements	0.790	eV per atom
SG	P4/mmm, No. 123

Unit cell a=5.3640 b=4.6951 c=5.3640 alpha=90.00 beta=90.00 gamma=90.00
With the nearest neighbours (Å) after each atom.
Atoms (fractional coordinates):
Cr (0.0000, 0.5000, 0.0000)  2 Tc 2.35
Tl (0.0000, 0.0000, 0.5000)  2 Tc 2.68
Tl (0.5000, 0.0000, 0.0000)  2 Tc 2.68
Bi (0.5000, 0.5000, 0.5000)  8 Tl 3.56, 4 Cr 3.79
Tc (0.0000, 0.0000, 0.0000)  2 Cr 2.35



[3]
An optimized crystal structure of Zr2TlGa, computed with PBE.

Computed properties:
ΔE to the lowest computed polymorph	0.000	eV per atom
energy of formation from the pure elements	-0.324	eV per atom
SG	P4/mmm, No. 123

Unit cell a=3.1194 b=3.1194 c=8.6264 alpha=90.00 beta=90.00 gamma=90.00
With the nearest neighbours (Å) after each atom.
Atoms (fractional coordinates):
Tl (0.5000, 0.5000, 0.5000)  4 Tl 3.12, 8 Zr 3.25
Ga (0.5000, 0.5000, 0.0000)  8 Zr 2.92, 4 Ga 3.12
Zr (0.0000, 0.0000, 0.7773)  4 Ga 2.92, 4 Zr 3.12, 4 Tl 3.25
Zr (0.0000, 0.0000, 0.2227)  4 Ga 2.92, 4 Zr 3.12, 4 Tl 3.25



[4]
An optimized crystal structure of ZrReTe2, computed with PBE.

Computed properties:
ΔE to the lowest computed polymorph	0.547	eV per atom
energy relative to the elements, uncorrected	0.329	eV per atom
SG	Pmmm, No. 47

Unit cell a=4.1130 b=3.3418 c=6.4844 alpha=89.97 beta=90.00 gamma=90.00
With the nearest neighbours (Å) after each atom.
Atoms (fractional coordinates):
Re (0.5000, 0.7500, 0.7500)  4 Te 2.63
Te (0.0000, 0.7502, 0.0034)  2 Re 2.63
Te (0.0000, 0.7498, 0.4966)  2 Re 2.63
Zr (0.5000, 0.2500, 0.2500)  8 Te 3.09-3.10, 2 Zr 3.34



[5]
An optimized crystal structure of NbAg2B2, computed with PBE.

Computed properties:
ΔE to the lowest computed polymorph	0.000	eV per atom
energy of formation from the pure elements	0.400	eV per atom
SG	I4/mmm, No. 139

Unit cell a=3.6330 b=3.6330 c=5.5500 alpha=70.90 beta=70.90 gamma=90.00
With the nearest neighbours (Å) after each atom.
Atoms (fractional coordinates):
Nb (0.0000, 0.0000, 0.0000)  8 B 2.70
B (0.4158, 0.4158, 0.1684)  1 B 1.66
B (0.5842, 0.5842, 0.8316)  1 B 1.66
Ag (0.7500, 0.2500, 0.5000)  4 B 2.44, 4 Ag 2.57
Ag (0.2500, 0.7500, 0.5000)  4 B 2.44, 4 Ag 2.57



[6]
An optimized crystal structure of PmHo4Te5, computed with PBE.

Computed properties:
energy relative to the elements, uncorrected	-1.280	eV per atom
SG	C2/m, No. 12

Unit cell a=4.3600 b=7.5735 c=9.7370 alpha=74.91 beta=77.06 gamma=73.27
With the nearest neighbours (Å) after each atom.
Atoms (fractional coordinates):
Pm (0.0000, 0.0000, 0.0000)  6 Te 3.15-3.16
Ho (0.5979, 0.1978, 0.6064)  6 Te 3.04-3.11
Ho (0.2052, 0.3894, 0.2001)  6 Te 3.05-3.11
Ho (0.7948, 0.6106, 0.7999)  6 Te 3.05-3.11
Ho (0.4021, 0.8022, 0.3936)  6 Te 3.04-3.11
Te (0.2035, 0.9008, 0.6921)  5 Ho 3.05-3.06, 1 Pm 3.15
Te (0.7965, 0.0992, 0.3079)  5 Ho 3.05-3.06, 1 Pm 3.15
Te (0.3949, 0.3141, 0.8961)  4 Ho 3.04-3.06, 2 Pm 3.16
Te (0.0000, 0.5000, 0.5000)  6 Ho 3.11
Te (0.6051, 0.6859, 0.1039)  4 Ho 3.04-3.06, 2 Pm 3.16



[7]
An optimized crystal structure of Ac11Tl4Hg9, computed with PBE.

Computed properties:
energy of formation from the pure elements	-0.392	eV per atom
SG	Cmmm, No. 65

Unit cell a=4.0064 b=14.4641 c=14.4641 alpha=106.80 beta=90.00 gamma=90.00
With the nearest neighbours (Å) after each atom.
Atoms (fractional coordinates):
Ac (0.0000, 0.5932, 0.9330)  6 Hg 3.48-3.63, 2 Tl 3.56, 1 Ac 3.75
Ac (0.0000, 0.4068, 0.0670)  6 Hg 3.48-3.63, 2 Tl 3.56, 1 Ac 3.75
Ac (0.0000, 0.9330, 0.5932)  6 Hg 3.48-3.63, 2 Tl 3.56, 1 Ac 3.75
Ac (0.0000, 0.0670, 0.4068)  6 Hg 3.48-3.63, 2 Tl 3.56, 1 Ac 3.75
Ac (0.0000, 0.6406, 0.3594)  4 Tl 3.54, 6 Hg 3.59-3.83
Ac (0.0000, 0.3594, 0.6406)  4 Tl 3.54, 6 Hg 3.59-3.83
Ac (0.0000, 0.8187, 0.1813)  8 Hg 3.47-3.49
Ac (0.0000, 0.1813, 0.8187)  8 Hg 3.47-3.49
Ac (0.0000, 0.0000, 0.0000)  8 Hg 3.48
Ac (0.0000, 0.7732, 0.7732)  4 Tl 3.47, 4 Hg 3.54
Ac (0.0000, 0.2268, 0.2268)  4 Tl 3.47, 4 Hg 3.54
Tl (0.5000, 0.5688, 0.7240)  1 Hg 3.10, 2 Ac 3.47
Tl (0.5000, 0.4312, 0.2760)  1 Hg 3.10, 2 Ac 3.47
Tl (0.5000, 0.7240, 0.5688)  1 Hg 3.10, 2 Ac 3.47
Tl (0.5000, 0.2760, 0.4312)  1 Hg 3.10, 2 Ac 3.47
Hg (0.5000, 0.6138, 0.1473)  8 Ac 3.49-3.63, 1 Tl 3.64
Hg (0.5000, 0.3862, 0.8527)  8 Ac 3.49-3.63, 1 Tl 3.64
Hg (0.5000, 0.1473, 0.6138)  8 Ac 3.49-3.63, 1 Tl 3.64
Hg (0.5000, 0.8527, 0.3862)  8 Ac 3.49-3.63, 1 Tl 3.64
Hg (0.5000, 0.7984, 0.9806)  8 Ac 3.47-3.54, 1 Hg 3.81
Hg (0.5000, 0.2016, 0.0194)  8 Ac 3.47-3.54, 1 Hg 3.81
Hg (0.5000, 0.9806, 0.7984)  8 Ac 3.47-3.54, 1 Hg 3.81
Hg (0.5000, 0.0194, 0.2016)  8 Ac 3.47-3.54, 1 Hg 3.81
Hg (0.5000, 0.5000, 0.5000)  4 Tl 3.10



[8]
An optimized crystal structure of Nd4Sm3Pb, computed with PBE.

Computed properties:
energy of formation from the pure elements	-0.104	eV per atom
SG	Pmna, No. 53

Unit cell a=7.1722 b=7.2133 c=10.1628 alpha=90.00 beta=90.00 gamma=90.00
With the nearest neighbours (Å) after each atom.
Atoms (fractional coordinates):
Pb (0.5000, 0.8107, 0.0000)  4 Sm 3.56, 8 Nd 3.57-3.61
Pb (0.5000, 0.3107, 0.5000)  4 Sm 3.56, 8 Nd 3.57-3.61
Nd (0.9993, 0.8108, 0.0000)  2 Pb 3.58-3.59, 6 Sm 3.60-3.63, 4 Nd 3.61-3.62
Nd (0.5002, 0.3104, 0.0000)  6 Sm 3.56-3.59, 4 Nd 3.58, 2 Pb 3.60-3.61
Nd (0.7445, 0.0606, 0.7498)  6 Sm 3.48-3.70, 2 Pb 3.57-3.58, 4 Nd 3.58-3.62
Nd (0.2555, 0.5606, 0.7502)  6 Sm 3.48-3.70, 2 Pb 3.57-3.58, 4 Nd 3.58-3.62
Nd (0.4998, 0.8104, 0.5000)  6 Sm 3.56-3.59, 4 Nd 3.58, 2 Pb 3.60-3.61
Nd (0.0007, 0.3108, 0.5000)  2 Pb 3.58-3.59, 6 Sm 3.60-3.63, 4 Nd 3.61-3.62
Nd (0.2555, 0.5606, 0.2498)  6 Sm 3.48-3.70, 2 Pb 3.57-3.58, 4 Nd 3.58-3.62
Nd (0.7445, 0.0606, 0.2502)  6 Sm 3.48-3.70, 2 Pb 3.57-3.58, 4 Nd 3.58-3.62
Sm (0.0000, 0.3105, 0.0000)  8 Nd 3.58-3.62, 4 Sm 3.63
Sm (0.2599, 0.0606, 0.7499)  8 Nd 3.48-3.70, 2 Pb 3.56, 2 Sm 3.63
Sm (0.7401, 0.5606, 0.7501)  8 Nd 3.48-3.70, 2 Pb 3.56, 2 Sm 3.63
Sm (0.0000, 0.8105, 0.5000)  8 Nd 3.58-3.62, 4 Sm 3.63
Sm (0.7401, 0.5606, 0.2499)  8 Nd 3.48-3.70, 2 Pb 3.56, 2 Sm 3.63
Sm (0.2599, 0.0606, 0.2501)  8 Nd 3.48-3.70, 2 Pb 3.56, 2 Sm 3.63



[9]
An optimized crystal structure of NpScIr4, computed with PBE.

Computed properties:
energy of formation from the pure elements	-0.579	eV per atom
SG	F-43m, No. 216

Unit cell a=5.2931 b=5.2931 c=5.2931 alpha=60.00 beta=60.00 gamma=60.00
With the nearest neighbours (Å) after each atom.
Atoms (fractional coordinates):
Np (0.2500, 0.2500, 0.2500)  12 Ir 3.10, 4 Sc 3.24
Sc (0.0000, 0.0000, 0.0000)  12 Ir 3.10, 4 Np 3.24
Ir (0.6254, 0.6254, 0.1239)  6 Ir 2.64-2.65
Ir (0.6254, 0.1239, 0.6254)  6 Ir 2.64-2.65
Ir (0.6254, 0.6254, 0.6254)  6 Ir 2.64-2.65
Ir (0.1239, 0.6254, 0.6254)  6 Ir 2.64-2.65



[10]
An optimized crystal structure of HfPa2Re, computed with PBE.

Computed properties:
ΔE to the lowest computed polymorph	0.000	eV per atom
energy of formation from the pure elements	0.120	eV per atom
SG	P4/mmm, No. 123

Unit cell a=3.2387 b=3.2387 c=8.6582 alpha=90.00 beta=90.00 gamma=90.00
With the nearest neighbours (Å) after each atom.
Atoms (fractional coordinates):
Re (0.5000, 0.5000, 0.0000)  8 Pa 2.95, 4 Re 3.24
Pa (0.0000, 0.0000, 0.7848)  4 Re 2.95, 4 Pa 3.24
Pa (0.0000, 0.0000, 0.2152)  4 Re 2.95, 4 Pa 3.24
Hf (0.5000, 0.5000, 0.5000)  4 Hf 3.24, 8 Pa 3.37



[11]
An optimized crystal structure of LiLaSCl, computed with PBE.

Computed properties:
energy relative to the elements, uncorrected	-1.768	eV per atom
SG	R-3m, No. 166

Unit cell a=4.0360 b=4.0360 c=14.1950 alpha=81.83 beta=81.83 gamma=60.00
With the nearest neighbours (Å) after each atom.
Atoms (fractional coordinates):
Li (0.6874, 0.6874, 0.9377)  4 S 2.45-2.51
Li (0.3126, 0.3126, 0.0623)  4 S 2.45-2.51
La (0.0823, 0.0823, 0.7530)  3 Cl 2.91, 3 S 2.96
La (0.9177, 0.9177, 0.2470)  3 Cl 2.91, 3 S 2.96
S (0.6276, 0.6276, 0.1171)  4 Li 2.45-2.51
S (0.3724, 0.3724, 0.8829)  4 Li 2.45-2.51
Cl (0.7907, 0.7907, 0.6280)  3 La 2.91
Cl (0.2093, 0.2093, 0.3720)  3 La 2.91



[12]
An optimized crystal structure of Tl6In7Sn, computed with PBE.

Computed properties:
energy of formation from the pure elements	0.061	eV per atom
SG	C2/m, No. 12

Unit cell a=5.9774 b=13.3392 c=14.1153 alpha=122.21 beta=70.24 gamma=84.81
With the nearest neighbours (Å) after each atom.
Atoms (fractional coordinates):
Tl (0.5722, 0.3003, 0.0506)  4 In 3.21-3.39, 3 Tl 3.35-3.55
Tl (0.0770, 0.0506, 0.3003)  4 In 3.21-3.39, 3 Tl 3.35-3.55
Tl (0.9526, 0.4537, 0.1852)  3 In 3.21-3.41, 2 Tl 3.35-3.55, 1 Sn 3.54
Tl (0.4086, 0.1852, 0.4537)  3 In 3.21-3.41, 2 Tl 3.35-3.55, 1 Sn 3.54
Tl (0.4278, 0.6997, 0.9494)  4 In 3.21-3.39, 3 Tl 3.35-3.55
Tl (0.9230, 0.9494, 0.6997)  4 In 3.21-3.39, 3 Tl 3.35-3.55
Tl (0.0474, 0.5463, 0.8148)  3 In 3.21-3.41, 2 Tl 3.35-3.55, 1 Sn 3.54
Tl (0.5914, 0.8148, 0.5463)  3 In 3.21-3.41, 2 Tl 3.35-3.55, 1 Sn 3.54
Tl (0.2741, 0.6048, 0.3952)  5 In 3.32-3.49, 2 Tl 3.65
Tl (0.7259, 0.3952, 0.6048)  5 In 3.32-3.49, 2 Tl 3.65
Tl (0.2702, 0.1145, 0.8855)  4 In 3.30-3.50, 2 Tl 3.51
Tl (0.7298, 0.8855, 0.1145)  4 In 3.30-3.50, 2 Tl 3.51
In (0.7552, 0.0234, 0.9766)  2 In 3.09-3.29, 2 Sn 3.21, 3 Tl 3.21-3.30
In (0.2448, 0.9766, 0.0234)  2 In 3.09-3.29, 2 Sn 3.21, 3 Tl 3.21-3.30
In (0.7435, 0.5339, 0.4661)  3 In 3.12-3.22, 4 Tl 3.21-3.37
In (0.2565, 0.4661, 0.5339)  3 In 3.12-3.22, 4 Tl 3.21-3.37
In (0.4722, 0.5980, 0.1393)  5 In 3.12-3.35, 2 Tl 3.35-3.39
In (0.7905, 0.1393, 0.5980)  5 In 3.12-3.35, 2 Tl 3.35-3.39
In (0.0092, 0.3591, 0.8985)  5 In 3.06-3.35, 4 Tl 3.23-3.41
In (0.7332, 0.8985, 0.3591)  5 In 3.06-3.35, 4 Tl 3.23-3.41
In (0.5278, 0.4020, 0.8607)  5 In 3.12-3.35, 2 Tl 3.35-3.39
In (0.2095, 0.8607, 0.4020)  5 In 3.12-3.35, 2 Tl 3.35-3.39
In (0.9908, 0.6409, 0.1015)  5 In 3.06-3.35, 4 Tl 3.23-3.41
In (0.2668, 0.1015, 0.6409)  5 In 3.06-3.35, 4 Tl 3.23-3.41
In (0.2226, 0.2774, 0.2774)  2 Sn 3.04, 2 In 3.22, 2 Tl 3.37
In (0.7774, 0.7226, 0.7226)  2 Sn 3.04, 2 In 3.22, 2 Tl 3.37
Sn (0.7675, 0.2325, 0.2325)  4 In 3.04-3.21
Sn (0.2325, 0.7675, 0.7675)  4 In 3.04-3.21